A plane-wave DFT calculation with GGA-PBE was carried out for a relaxed Pm3ThZn4 crystal.

Cell lengths 3.644, 5.181, 10.380 Å; angles 90.00, 90.00, 90.00 degrees
Element x y z (fractional)
Pm 0.500 0.500 0.500
Pm 0.500 0.000 0.752
Pm 0.500 0.000 0.248
Zn 0.000 0.500 0.252
Zn 0.000 0.500 0.748
Zn 0.000 0.000 0.500
Zn 0.000 0.000 0.000
Th 0.500 0.500 0.000

The value obtained for the formation energy is -0.279 eV/atom. As for the total energy: -0.133 hartree per atom. The value obtained for the density of states at the Fermi level is 8.23 states/eV per cell. As for the density: 7870 kg/m3.

---

A plane-wave DFT calculation with GGA-PBE was carried out for a relaxed PmThZn4 crystal.

Cell lengths 5.557, 5.557, 5.557 Å; angles 60.00, 60.00, 60.00 degrees
Element x y z (fractional)
Zn 0.624 0.624 0.624
Zn 0.624 0.624 0.127
Zn 0.127 0.624 0.624
Zn 0.624 0.127 0.624
Th 0.000 0.000 0.000
Pm 0.250 0.250 0.250

The value obtained for the formation energy is -0.275 eV/atom. The calculation puts the energy above the most stable polymorph in this dataset at 0.0 meV/atom. As for the total energy: -0.116 hartree per atom. The value obtained for the density of states at the Fermi level is 4.17 states/eV per cell. As for the density: 8739 kg/m3.

---

A plane-wave DFT calculation with GGA-PBE was carried out for a relaxed Pm2ThZn9 crystal.

Cell lengths 5.503, 5.503, 9.310 Å; angles 72.81, 72.81, 60.00 degrees
Element x y z (fractional)
Zn 0.584 0.077 0.755
Zn 0.584 0.584 0.755
Zn 0.665 0.665 0.005
Zn 0.500 0.500 0.500
Zn 0.077 0.584 0.755
Zn 0.923 0.416 0.245
Zn 0.416 0.923 0.245
Zn 0.416 0.416 0.245
Zn 0.335 0.335 0.995
Pm 0.858 0.858 0.426
Pm 0.142 0.142 0.574
Th 0.000 0.000 0.000

The value obtained for the formation energy is -0.281 eV/atom. As for the total energy: -0.097 hartree per atom. The value obtained for the density of states at the Fermi level is 7.92 states/eV per cell. As for the density: 8036 kg/m3.